[1]
! SmTmTeS (PBE-GGA, optimized geometry); values from VASP
! formation energy from raw total energies = -1655 meV/atom
&SYSTEM
  ibrav = 0, nat = 4, ntyp = 4
/
ATOMIC_SPECIES
Sm 150.36 Sm.upf
Tm 168.93 Tm.upf
Te 127.60 Te.upf
S 32.06 S.upf
ATOMIC_POSITIONS crystal
Sm 0.0000 0.0000 0.0000
Tm 0.1946 0.1946 0.1946
Te 0.4332 0.4332 0.4332
S 0.5951 0.5951 0.5951
CELL_PARAMETERS angstrom
2.0076 1.1591 7.2247
-2.0076 1.1591 7.2247
0.0000 -2.3182 7.2247

---

[2]
! Y2ZrH (PBE-GGA, optimized geometry); values from VASP
! energy above the most stable polymorph in this dataset = 108.6 meV/atom
&SYSTEM
  ibrav = 0, nat = 4, ntyp = 3
/
ATOMIC_SPECIES
Y 88.91 Y.upf
Zr 91.22 Zr.upf
H 1.01 H.upf
ATOMIC_POSITIONS crystal
Y 0.0000 0.0000 0.2064
Y 0.0000 0.0000 0.7936
Zr 0.5000 0.5000 0.5000
H 0.5000 0.5000 0.0000
CELL_PARAMETERS angstrom
3.2682 0.0000 0.0000
0.0000 3.2682 0.0000
0.0000 0.0000 8.1069

---

[3]
! BaCuH3 (PBE-GGA, optimized geometry); values from VASP
! energy above the most stable polymorph in this dataset = 1069.9 meV/atom
&SYSTEM
  ibrav = 0, nat = 5, ntyp = 3
/
ATOMIC_SPECIES
Ba 137.33 Ba.upf
Cu 63.55 Cu.upf
H 1.01 H.upf
ATOMIC_POSITIONS crystal
Ba 0.0000 0.0000 0.0000
Cu 0.5000 0.5000 0.5000
H 0.0000 0.0000 0.5000
H 0.0000 0.5000 0.0000
H 0.5000 0.0000 0.0000
CELL_PARAMETERS angstrom
4.8287 0.0000 0.0000
0.0000 4.8287 0.0000
0.0000 0.0000 4.8287

---

| no. | calculated volume (Å³/atom) | uncorrected energy (eV/cell) | magnetic moment (μB/f.u.) |
| --- | --- | --- | --- |
| 1 | 25.22 | -23.081 | 0.00 |
| 2 | 21.65 | -24.355 | 0.00 |
| 3 | 22.52 | -12.422 | 0.00 |